An optimized crystal structure of PrSiAg, computed with PBE.

Unit cell a=4.742 b=4.742 c=4.742 alpha=60.00 beta=60.00 gamma=60.00
Fractional coordinates of all 3 atoms:
Si  0.250  0.250  0.250
Pr  0.500  0.500  0.500
Ag  0.000  0.000  0.000

Output
crystal system	cubic
magnetic moment	0.0	μB per formula unit
DFT total energy	-4.71	eV per atom